Record 1
{"formula": "PrPbAu2", "functional": "PBE", "state": "optimized geometry", "lattice_angstrom": [[3.8814, 0.0000, 0.0000], [0.0000, 3.8814, 0.0000], [0.0000, 0.0000, 6.7362]], "species": ["Pr", "Pb", "Au", "Au"], "frac_coords": [[0.0000, 0.0000, 0.0000], [0.0000, 0.0000, 0.5000], [0.5000, 0.5000, 0.2344], [0.5000, 0.5000, 0.7656]], "formation_energy_mev_per_atom": -507, "total_energy_ev_per_atom": -4.27}



Record 2
{"formula": "Pr4PbAu7", "functional": "PBE", "state": "optimized geometry", "lattice_angstrom": [[7.4255, -2.6505, 0.0000], [7.4255, 2.6505, 0.0000], [-4.9573, 0.0000, 7.9530]], "species": ["Pr", "Pr", "Pr", "Pr", "Pb", "Au", "Au", "Au", "Au", "Au", "Au", "Au"], "frac_coords": [[0.0565, 0.0565, 0.2350], [0.2351, 0.2351, 0.7556], [0.7649, 0.7649, 0.2444], [0.9435, 0.9435, 0.7650], [0.5000, 0.5000, 0.5000], [0.0000, 0.0000, 0.5000], [0.1817, 0.1817, 0.0544], [0.2978, 0.2978, 0.4945], [0.4126, 0.4126, 0.1264], [0.5874, 0.5874, 0.8736], [0.7022, 0.7022, 0.5055], [0.8183, 0.8183, 0.9456]], "formation_energy_mev_per_atom": -568, "total_energy_ev_per_atom": -4.38}